Record 1
Compound: CaCr2Rh
Source: Alexandria via LeMat-Bulk
Functional: PBE
Structure: optimized geometry

Values from the calculation:
Energy above the most stable polymorph in this dataset in eV/f.u.: 1.25
Total magnetization in μB per formula unit: 8.0
Formation enthalpy at 0 K in kcal/mol of atoms: 12.4
Energy in eV per atom: -6.614

Cell: 4.1402 4.1402 4.2182 Å, 90.00 90.00 90.00°
Atoms (fractional coordinates):
Ca  0.0000  0.0000  0.0000
Cr  0.0000  0.5000  0.5000
Cr  0.5000  0.0000  0.5000
Rh  0.5000  0.5000  0.0000

---

Record 2
Compound: TbP2O6
Source: Alexandria via LeMat-Bulk
Functional: PBE
Structure: optimized geometry

Values from the calculation:
Total magnetization in μB per formula unit: 0.4
Energy in eV per atom: -7.376
Formation energy without anion corrections in meV per atom: -2354

Cell: 6.9466 6.9466 5.9731 Å, 105.56 105.56 84.97°
Atoms (fractional coordinates):
Tb  0.1239  0.8761  0.7500
Tb  0.8761  0.1239  0.2500
P  0.2344  0.3636  0.7481
P  0.3636  0.2344  0.2481
P  0.6364  0.7657  0.7519
P  0.7657  0.6364  0.2519
O  0.0793  0.1879  0.6380
O  0.1277  0.5682  0.7838
O  0.1879  0.0793  0.1380
O  0.3396  0.3587  0.5145
O  0.3587  0.3396  0.0145
O  0.4318  0.8723  0.7162
O  0.5682  0.1277  0.2838
O  0.6413  0.6604  0.9855
O  0.6604  0.6413  0.4855
O  0.8121  0.9207  0.8620
O  0.8723  0.4318  0.2162
O  0.9207  0.8121  0.3620

---

Record 3
Compound: Sm5HoAl4
Source: Alexandria via LeMat-Bulk
Functional: PBE
Structure: optimized geometry

Values from the calculation:
Total magnetization in μB per formula unit: 0.0
Formation enthalpy at 0 K in kcal/mol of atoms: -6.5
Energy in eV per atom: -4.594

Cell: 3.6574 3.6574 19.8956 Å, 90.00 90.00 90.00°
Atoms (fractional coordinates):
Sm  0.0000  0.0000  0.0000
Sm  0.0000  0.0000  0.1870
Sm  0.0000  0.0000  0.3743
Sm  0.0000  0.0000  0.6257
Sm  0.0000  0.0000  0.8130
Ho  0.5000  0.5000  0.5000
Al  0.5000  0.5000  0.0934
Al  0.5000  0.5000  0.2816
Al  0.5000  0.5000  0.7184
Al  0.5000  0.5000  0.9066

---

Record 4
Compound: KHgS3
Source: Alexandria via LeMat-Bulk
Functional: PBE
Structure: optimized geometry

Values from the calculation:
Energy above the most stable polymorph in this dataset in eV/f.u.: 0.00
Total magnetization in μB per formula unit: 0.0
Energy in eV per atom: -2.587
Formation energy without anion corrections in meV per atom: 169

Cell: 5.1169 5.1169 5.1169 Å, 90.00 90.00 90.00°
Atoms (fractional coordinates):
K  0.0000  0.0000  0.0000
Hg  0.5000  0.5000  0.5000
S  0.0000  0.5000  0.5000
S  0.5000  0.0000  0.5000
S  0.5000  0.5000  0.0000

---

Record 5
Compound: BaNbPb3
Source: Alexandria via LeMat-Bulk
Functional: PBE
Structure: optimized geometry

Values from the calculation:
Energy above the most stable polymorph in this dataset in eV/f.u.: 9.25
Total magnetization in μB per formula unit: 0.1
Formation enthalpy at 0 K in kcal/mol of atoms: 42.1
Energy in eV per atom: -2.799

Cell: 6.0593 6.0593 6.0593 Å, 90.00 90.00 90.00°
Atoms (fractional coordinates):
Ba  0.0000  0.0000  0.0000
Nb  0.5000  0.5000  0.5000
Pb  0.0000  0.0000  0.5000
Pb  0.0000  0.5000  0.0000
Pb  0.5000  0.0000  0.0000

---

Record 6
Compound: RbZrF2
Source: Alexandria via LeMat-Bulk
Functional: PBE
Structure: optimized geometry

Values from the calculation:
Energy above the most stable polymorph in this dataset in eV/f.u.: 2.04
Total magnetization in μB per formula unit: 2.7
Energy in eV per atom: -5.002
Formation energy without anion corrections in meV per atom: -1688

Cell: 6.3743 6.3743 6.3743 Å, 120.04 120.04 89.93°
Atoms (fractional coordinates):
Rb  0.0000  0.0000  0.0000
Rb  0.7500  0.2500  0.5000
Zr  0.2500  0.7500  0.5000
Zr  0.5000  0.5000  0.0000
F  0.1866  0.6250  0.0616
F  0.3750  0.4366  0.5616
F  0.5634  0.1250  0.9384
F  0.8750  0.8134  0.4384

---

Record 7
Compound: ErPu2HfN4
Source: Alexandria via LeMat-Bulk
Functional: PBE
Structure: optimized geometry

Values from the calculation:
Total magnetization in μB per formula unit: 0.4
Energy in eV per atom: -11.072
Formation energy without anion corrections in meV per atom: -1512

Cell: 5.8582 3.3825 5.9093 Å, 90.00 109.57 90.00°
Atoms (fractional coordinates):
Er  0.0000  0.0000  0.0000
Pu  0.0000  0.5000  0.5000
Pu  0.5000  0.0000  0.5000
Hf  0.5000  0.5000  0.0000
N  0.2647  0.5000  0.2389
N  0.2668  0.0000  0.7691
N  0.7332  0.0000  0.2309
N  0.7353  0.5000  0.7611

---

Record 8
Compound: PrNi3Pd9
Source: Alexandria via LeMat-Bulk
Functional: PBE
Structure: optimized geometry

Values from the calculation:
Total magnetization in μB per formula unit: 3.7
Formation enthalpy at 0 K in kcal/mol of atoms: -5.2
Energy in eV per atom: -5.522

Cell: 6.8698 6.8698 6.7696 Å, 97.54 97.54 136.59°
Atoms (fractional coordinates):
Pr  0.0000  0.0000  0.0000
Ni  0.0000  0.5000  0.0000
Ni  0.5000  0.0000  0.0000
Ni  0.5000  0.5000  0.5000
Pd  0.0000  0.0000  0.5000
Pd  0.0129  0.6580  0.6578
Pd  0.2907  0.5132  0.7836
Pd  0.3420  0.9871  0.3422
Pd  0.4868  0.7093  0.2164
Pd  0.5132  0.2907  0.7836
Pd  0.6580  0.0129  0.6578
Pd  0.7093  0.4868  0.2164
Pd  0.9871  0.3420  0.3422